[1]
Computed, not measured: an optimized crystal structure of Hg4SbIBr2 at the PBE level of DFT.

Results
The value obtained for the formation energy from raw total energies is -0.24 eV/atom. Its crystal system is orthorhombic. The calculation puts the mass density at 5.51 g/cm3. The raw total energy is -1.51 eV/atom.

```
data_Hg4SbIBr2
_cell_length_a 11.5714
_cell_length_b 9.0462
_cell_length_c 6.9721
_cell_angle_alpha 90.00
_cell_angle_beta 90.00
_cell_angle_gamma 90.00
_space_group_name_H-M_alt 'P m n 21'
_space_group_IT_number 31
_space_group_name_Hall 'P 2ac -2'
loop_
_atom_site_label
_atom_site_type_symbol
_atom_site_fract_x
_atom_site_fract_y
_atom_site_fract_z
Hg1 Hg 0.0000 0.0516 0.0000
Hg2 Hg 0.0000 0.7143 0.7878
Hg3 Hg 0.1635 0.4028 0.7760
Sb1 Sb 0.0000 0.2057 0.6644
I1 I 0.0000 0.8760 0.3165
Br1 Br 0.1727 0.4043 0.2343
```



[2]
Computed, not measured: an optimized crystal structure of BaTe3 at the PBE level of DFT.

Results
The value obtained for the formation energy from raw total energies is -0.68 eV/atom. Its crystal system is hexagonal. The calculation puts the mass density at 6.33 g/cm3. The raw total energy is -3.52 eV/atom.

```
data_BaTe3
_cell_length_a 6.9322
_cell_length_b 6.9322
_cell_length_c 6.5537
_cell_angle_alpha 90.00
_cell_angle_beta 90.00
_cell_angle_gamma 120.00
_space_group_name_H-M_alt 'P 63/m m c'
_space_group_IT_number 194
_space_group_name_Hall '-P 6c 2c'
loop_
_atom_site_label
_atom_site_type_symbol
_atom_site_fract_x
_atom_site_fract_y
_atom_site_fract_z
Ba1 Ba 0.3333 0.6667 0.2500
Te1 Te 0.1732 0.3464 0.7500
```



[3]
Computed, not measured: an optimized crystal structure of Tb3Pr6Mg at the PBE level of DFT.

Results
Its crystal system is orthorhombic. Its calculated formation energy is 2.498 kcal/mol of atoms. The calculation puts the mass density at 6.60 g/cm3. Its polymorph energy (0 for the lowest one) is 0.0000 eV/atom. The raw total energy is -4.31 eV/atom.

```
data_Tb3Pr6Mg
_cell_length_a 9.6794
_cell_length_b 14.9509
_cell_length_c 9.3660
_cell_angle_alpha 90.00
_cell_angle_beta 90.00
_cell_angle_gamma 90.00
_space_group_name_H-M_alt 'C m c 21'
_space_group_IT_number 36
_space_group_name_Hall 'C 2c -2'
loop_
_atom_site_label
_atom_site_type_symbol
_atom_site_fract_x
_atom_site_fract_y
_atom_site_fract_z
Tb1 Tb 0.0000 0.0340 0.0000
Tb2 Tb 0.1777 0.3558 0.4828
Pr1 Pr 0.0000 0.2024 0.2758
Pr2 Pr 0.0000 0.4393 0.1440
Pr3 Pr 0.1744 0.1565 0.6633
Pr4 Pr 0.2183 0.4233 0.8260
Mg1 Mg 0.0000 0.2558 0.9322
```



[4]
Computed, not measured: an optimized crystal structure of PuH3 at the PBE level of DFT.

Results
Its crystal system is hexagonal. The calculation puts the mass density at 10.48 g/cm3. The raw total energy is -6.45 eV/atom.

```
data_PuH3
_cell_length_a 3.6992
_cell_length_b 3.6992
_cell_length_c 6.6035
_cell_angle_alpha 90.00
_cell_angle_beta 90.00
_cell_angle_gamma 120.00
_space_group_name_H-M_alt 'P 63/m m c'
_space_group_IT_number 194
_space_group_name_Hall '-P 6c 2c'
loop_
_atom_site_label
_atom_site_type_symbol
_atom_site_fract_x
_atom_site_fract_y
_atom_site_fract_z
Pu1 Pu 0.3333 0.6667 0.2500
H1 H 0.0000 0.0000 0.2500
H2 H 0.3333 0.6667 0.5946
```



[5]
Computed, not measured: an optimized crystal structure of AuSe3Cl at the PBE level of DFT.

Results
The value obtained for the formation energy from raw total energies is 0.73 eV/atom. Its crystal system is cubic. The calculation puts the mass density at 5.81 g/cm3. Its polymorph energy (0 for the lowest one) is 0.0000 eV/atom. The raw total energy is -2.38 eV/atom.

```
data_AuSe3Cl
_cell_length_a 5.1187
_cell_length_b 5.1187
_cell_length_c 5.1187
_cell_angle_alpha 90.00
_cell_angle_beta 90.00
_cell_angle_gamma 90.00
_space_group_name_H-M_alt 'P m -3 m'
_space_group_IT_number 221
_space_group_name_Hall '-P 4 2 3'
loop_
_atom_site_label
_atom_site_type_symbol
_atom_site_fract_x
_atom_site_fract_y
_atom_site_fract_z
Au1 Au 0.0000 0.0000 0.0000
Se1 Se 0.0000 0.0000 0.5000
Cl1 Cl 0.5000 0.5000 0.5000
```



[6]
Computed, not measured: an optimized crystal structure of BaRhPb2 at the PBE level of DFT.

Results
Its crystal system is trigonal. Its calculated formation energy is -7.272 kcal/mol of atoms. The calculation puts the mass density at 8.89 g/cm3. The raw total energy is -4.49 eV/atom.

```
data_BaRhPb2
_cell_length_a 4.7769
_cell_length_b 4.7769
_cell_length_c 18.5533
_cell_angle_alpha 90.00
_cell_angle_beta 90.00
_cell_angle_gamma 120.00
_space_group_name_H-M_alt 'R 3 m'
_space_group_IT_number 160
_space_group_name_Hall 'R 3 -2"'
loop_
_atom_site_label
_atom_site_type_symbol
_atom_site_fract_x
_atom_site_fract_y
_atom_site_fract_z
Ba1 Ba 0.0000 0.0000 0.0000
Rh1 Rh 0.0000 0.0000 0.8223
Pb1 Pb 0.0000 0.0000 0.2103
Pb2 Pb 0.0000 0.0000 0.4511
```



[7]
Computed, not measured: an optimized crystal structure of Hf3MnAg at the PBE level of DFT.

Results
Its crystal system is cubic. Its calculated formation energy is 9.772 kcal/mol of atoms. The calculation puts the mass density at 10.59 g/cm3. Its polymorph energy (0 for the lowest one) is 0.0000 eV/atom. The raw total energy is -7.95 eV/atom.

```
data_Hf3MnAg
_cell_length_a 4.7844
_cell_length_b 4.7844
_cell_length_c 4.7844
_cell_angle_alpha 90.00
_cell_angle_beta 90.00
_cell_angle_gamma 90.00
_space_group_name_H-M_alt 'P m -3 m'
_space_group_IT_number 221
_space_group_name_Hall '-P 4 2 3'
loop_
_atom_site_label
_atom_site_type_symbol
_atom_site_fract_x
_atom_site_fract_y
_atom_site_fract_z
Hf1 Hf 0.0000 0.0000 0.5000
Mn1 Mn 0.0000 0.0000 0.0000
Ag1 Ag 0.5000 0.5000 0.5000
```



[8]
Computed, not measured: an optimized crystal structure of Be2CuP at the PBE level of DFT.

Results
Its crystal system is triclinic. Its calculated formation energy is 1.713 kcal/mol of atoms. The calculation puts the mass density at 4.18 g/cm3. The raw total energy is -4.17 eV/atom.

```
data_Be2CuP
_cell_length_a 3.3457
_cell_length_b 3.7454
_cell_length_c 3.8454
_cell_angle_alpha 77.65
_cell_angle_beta 72.98
_cell_angle_gamma 79.79
_space_group_name_H-M_alt 'P 1'
_space_group_IT_number 1
_space_group_name_Hall 'P 1'
loop_
_atom_site_label
_atom_site_type_symbol
_atom_site_fract_x
_atom_site_fract_y
_atom_site_fract_z
Be1 Be 0.0000 0.0000 0.0000
Be2 Be 0.2222 0.7516 0.5127
Cu1 Cu 0.5569 0.5419 0.9835
P1 P 0.6280 0.1469 0.5539
```